# 1
A relaxed Ac2Mo2N5 crystal. Source: Alexandria via LeMat-Bulk, functional GGA-PBE.

Summary:
- M_tot: 0.00 μB/f.u.
- ΔE_f (raw): -0.79 eV per atom
- Density: 8.7 g/cm3

abc: 4.2332 6.0638 6.0870
angles: 108.95 90.00 110.43
Closest atoms and distances in Å follow each position.
Fractional coordinates of all 9 atoms:
1 Ac 0.4024 0.8048 0.6828  7 N 2.60-2.82
2 Ac 0.5976 0.1952 0.3172  7 N 2.60-2.82
3 Mo 0.1630 0.3261 0.8975  2 N 1.86-2.02
4 Mo 0.8370 0.6739 0.1025  2 N 1.86-2.02
5 N 0.3484 0.6969 0.0855  3 Mo 2.02-2.13
6 N 0.6516 0.3031 0.9145  3 Mo 2.02-2.13
7 N 0.1609 0.3219 0.5900  1 Mo 1.86
8 N 0.8391 0.6781 0.4100  1 Mo 1.86
9 N 0.0000 0.0000 0.0000  2 Mo 2.15

***

# 2
A relaxed AcMoN crystal. Source: Alexandria via LeMat-Bulk, functional GGA-PBE.

Summary:
- M_tot: 0.00 μB/f.u.
- ΔE_f (raw): -0.18 eV per atom
- Density: 9.2 g/cm3

abc: 3.3309 10.3447 7.0611
angles: 90.00 90.00 90.00
Closest atoms and distances in Å follow each position.
Fractional coordinates of all 12 atoms:
1 Ac 0.2500 0.2971 0.5075  2 N 2.62
2 Ac 0.7500 0.7029 0.4925  2 N 2.62
3 Ac 0.2500 0.2029 0.0075  2 N 2.62
4 Ac 0.7500 0.7971 0.9925  2 N 2.62
5 N 0.2500 0.6175 0.8792  3 Mo 2.12-2.14
6 N 0.7500 0.3825 0.1208  3 Mo 2.12-2.14
7 N 0.2500 0.8825 0.3792  3 Mo 2.12-2.14
8 N 0.7500 0.1175 0.6208  3 Mo 2.12-2.14
9 Mo 0.2500 0.5122 0.1369  3 N 2.12-2.14
10 Mo 0.7500 0.4878 0.8631  3 N 2.12-2.14
11 Mo 0.2500 0.9878 0.6369  3 N 2.12-2.14
12 Mo 0.7500 0.0122 0.3631  3 N 2.12-2.14

***

# 3
A relaxed AcMo2N6 crystal. Source: Alexandria via LeMat-Bulk, functional GGA-PBE.

Summary:
- M_tot: 0.00 μB/f.u.
- ΔE_f (raw): -0.22 eV per atom
- Density: 7.8 g/cm3

abc: 5.5789 5.5789 3.9850
angles: 90.00 90.00 120.00
Closest atoms and distances in Å follow each position.
Fractional coordinates of all 9 atoms:
1 Ac 0.0000 0.0000 0.0000  12 N 2.80-2.93
2 Mo 0.3333 0.6667 0.5000  6 N 2.08
3 Mo 0.6667 0.3333 0.5000  6 N 2.08
4 N 0.5121 0.0000 0.1684  1 N 1.35
5 N 0.4879 0.4879 0.1684  1 N 1.35
6 N 0.0000 0.5121 0.1684  1 N 1.35
7 N 0.5121 0.5121 0.8316  1 N 1.35
8 N 0.0000 0.4879 0.8316  1 N 1.35
9 N 0.4879 0.0000 0.8316  1 N 1.35

***

# 4
A relaxed AcMoN4 crystal. Source: Alexandria via LeMat-Bulk, functional GGA-PBE.

Summary:
- M_tot: 0.00 μB/f.u.
- ΔE_f (raw): -0.19 eV per atom
- Density: 7.5 g/cm3

abc: 4.2113 4.2699 4.6840
angles: 86.54 90.00 89.99
Closest atoms and distances in Å follow each position.
Fractional coordinates of all 6 atoms:
1 Ac 0.5012 0.5084 0.9929  8 N 2.61-2.90
2 Mo 0.0011 0.9726 0.4331  4 N 1.99-2.13
3 N 0.5011 0.9414 0.3664  1 N 1.34
4 N 0.5018 0.0564 0.6274  1 N 1.34
5 N 0.0013 0.5656 0.6632  1 N 1.35
6 N 0.0013 0.4392 0.4059  1 N 1.35

***

# 5
A relaxed Ac2MoN5 crystal. Source: Alexandria via LeMat-Bulk, functional GGA-PBE.

Summary:
- M_tot: 2.97 μB/f.u.
- ΔE_f (raw): -0.14 eV per atom
- Density: 6.7 g/cm3

abc: 4.2412 6.7222 11.3104
angles: 90.00 90.00 108.39
Closest atoms and distances in Å follow each position.
Fractional coordinates of all 16 atoms:
1 Ac 0.8564 0.7128 0.4238  5 N 2.41-2.62
2 Ac 0.8564 0.7128 0.0762  5 N 2.41-2.62
3 Ac 0.1436 0.2872 0.5762  5 N 2.41-2.62
4 Ac 0.1436 0.2872 0.9238  5 N 2.41-2.62
5 Mo 0.8453 0.6907 0.7500  2 N 1.85
6 Mo 0.1547 0.3093 0.2500  2 N 1.85
7 N 0.9436 0.8873 0.8706  1 Mo 1.85
8 N 0.9436 0.8873 0.6294  1 Mo 1.85
9 N 0.2696 0.5392 0.3981  1 Mo 2.23, 2 Ac 2.41
10 N 0.2696 0.5392 0.1019  1 Mo 2.23, 2 Ac 2.41
11 N 0.6952 0.3904 0.2500  2 Mo 2.18
12 N 0.3048 0.6096 0.7500  2 Mo 2.18
13 N 0.7304 0.4608 0.6019  1 Mo 2.23, 2 Ac 2.41
14 N 0.7304 0.4608 0.8981  1 Mo 2.23, 2 Ac 2.41
15 N 0.0564 0.1127 0.1294  1 Mo 1.85
16 N 0.0564 0.1127 0.3706  1 Mo 1.85

***

# 6
A relaxed Ac5MoN6 crystal. Source: Alexandria via LeMat-Bulk, functional GGA-PBE.

Summary:
- M_tot: 0.00 μB/f.u.
- ΔE_f (raw): -0.82 eV per atom
- Density: 10.0 g/cm3

abc: 6.3715 6.4355 6.4684
angles: 60.17 80.65 70.94
Closest atoms and distances in Å follow each position.
Fractional coordinates of all 12 atoms:
1 Ac 0.5000 0.1607 0.6787  4 N 2.56-2.65
2 Ac 0.0000 0.3322 0.3356  6 N 2.65-2.70
3 Ac 0.5000 0.5000 0.0000  6 N 2.66-2.89
4 Ac 0.0000 0.6678 0.6644  6 N 2.65-2.70
5 Ac 0.5000 0.8393 0.3213  4 N 2.56-2.65
6 Mo 0.0000 0.0000 0.0000  6 N 2.17-2.32
7 N 0.7940 0.0708 0.2732  1 Mo 2.17
8 N 0.2060 0.6560 0.2732  1 Mo 2.17
9 N 0.2306 0.2151 0.0000  1 Mo 2.32, 2 Ac 2.56
10 N 0.7694 0.7849 0.0000  1 Mo 2.32, 2 Ac 2.56
11 N 0.7940 0.3440 0.7268  1 Mo 2.17
12 N 0.2060 0.9292 0.7268  1 Mo 2.17

***

Which formula does entry 1 have?
Ac2Mo2N5

***

Copy entry 5 word for word.
A relaxed Ac2MoN5 crystal. Source: Alexandria via LeMat-Bulk, functional GGA-PBE.

Summary:
- M_tot: 2.97 μB/f.u.
- ΔE_f (raw): -0.14 eV per atom
- Density: 6.7 g/cm3

abc: 4.2412 6.7222 11.3104
angles: 90.00 90.00 108.39
Closest atoms and distances in Å follow each position.
Fractional coordinates of all 16 atoms:
1 Ac 0.8564 0.7128 0.4238  5 N 2.41-2.62
2 Ac 0.8564 0.7128 0.0762  5 N 2.41-2.62
3 Ac 0.1436 0.2872 0.5762  5 N 2.41-2.62
4 Ac 0.1436 0.2872 0.9238  5 N 2.41-2.62
5 Mo 0.8453 0.6907 0.7500  2 N 1.85
6 Mo 0.1547 0.3093 0.2500  2 N 1.85
7 N 0.9436 0.8873 0.8706  1 Mo 1.85
8 N 0.9436 0.8873 0.6294  1 Mo 1.85
9 N 0.2696 0.5392 0.3981  1 Mo 2.23, 2 Ac 2.41
10 N 0.2696 0.5392 0.1019  1 Mo 2.23, 2 Ac 2.41
11 N 0.6952 0.3904 0.2500  2 Mo 2.18
12 N 0.3048 0.6096 0.7500  2 Mo 2.18
13 N 0.7304 0.4608 0.6019  1 Mo 2.23, 2 Ac 2.41
14 N 0.7304 0.4608 0.8981  1 Mo 2.23, 2 Ac 2.41
15 N 0.0564 0.1127 0.1294  1 Mo 1.85
16 N 0.0564 0.1127 0.3706  1 Mo 1.85

***

What is the density in the sixth record?
10.0 g/cm3